P | This record from Alexandria describes CdReH3 after structural relaxation. The functional is PBE-GGA.

Lattice parameters (Å, degrees): 3.5854 3.5854 3.5854 90.00 90.00 90.00
Closest atoms and distances in Å follow each position.
Fractional coordinates of all 5 atoms:
Re 0.0000 0.0000 0.0000  6 H 1.79
H 0.0000 0.5000 0.0000  2 Re 1.79
H 0.0000 0.0000 0.5000  2 Re 1.79
H 0.5000 0.0000 0.0000  2 Re 1.79
Cd 0.5000 0.5000 0.5000  12 H 2.54

Summary:
* space-group type: Pm-3m, No. 221

=====

Q | This record from Alexandria describes CdReH3 after structural relaxation. The functional is PBE-GGA.

Lattice parameters (Å, degrees): 3.6153 3.6153 3.6153 90.00 90.00 90.00
Closest atoms and distances in Å follow each position.
Fractional coordinates of all 5 atoms:
Re 0.5000 0.5000 0.5000  12 H 2.56
H 0.0000 0.5000 0.0000  2 Cd 1.81
H 0.0000 0.0000 0.5000  2 Cd 1.81
H 0.5000 0.0000 0.0000  2 Cd 1.81
Cd 0.0000 0.0000 0.0000  6 H 1.81

Summary:
* space-group type: Pm-3m, No. 221

=====

The structure with the most favorable energy is P; the runner-up is 1041 meV/atom above it.

=====

P | This record from Alexandria describes CdH3Rh2 after structural relaxation. The functional is PBE-GGA.

Lattice parameters (Å, degrees): 5.6092 4.7070 4.7070 109.56 90.00 90.00
Closest atoms and distances in Å follow each position.
Fractional coordinates of all 12 atoms:
Cd 0.2500 0.4036 0.4036  5 H 2.30-2.44
Cd 0.7500 0.5964 0.5964  5 H 2.30-2.44
H 0.7500 0.5660 0.0989  2 Rh 1.79
H 0.7500 0.0989 0.5660  2 Rh 1.79
H 0.2500 0.4340 0.9011  2 Rh 1.79
H 0.7500 0.0451 0.0451  4 Rh 2.01
H 0.2500 0.9549 0.9549  4 Rh 2.01
H 0.2500 0.9011 0.4340  2 Rh 1.79
Rh 0.5000 0.8159 0.1841  2 H 1.79
Rh 0.0000 0.8159 0.1841  2 H 1.79
Rh 0.0000 0.1841 0.8159  2 H 1.79
Rh 0.5000 0.1841 0.8159  2 H 1.79

Summary:
* space-group type: Cmcm, No. 63

=====

Q | This record from Alexandria describes CdH3Rh2 after structural relaxation. The functional is PBE-GGA.

Lattice parameters (Å, degrees): 9.5279 6.0562 6.0562 43.21 38.13 38.13
Closest atoms and distances in Å follow each position.
Fractional coordinates of all 12 atoms:
Cd 0.1353 0.2500 0.2500  4 H 2.25
Cd 0.8647 0.7500 0.7500  4 H 2.25
H 0.0000 0.7837 0.2163  2 Rh 1.74, 1 H 1.93
H 0.0000 0.2163 0.7837  2 Rh 1.74, 1 H 1.93
H 0.5000 0.7163 0.2837  2 Rh 1.74, 1 H 1.93
H 0.5000 0.0000 0.5000  4 Rh 1.97
H 0.5000 0.5000 0.0000  4 Rh 1.97
H 0.5000 0.2837 0.7163  2 Rh 1.74, 1 H 1.93
Rh 0.1815 0.9696 0.9696  2 H 1.74
Rh 0.3793 0.4696 0.4696  2 H 1.74
Rh 0.6207 0.5304 0.5304  2 H 1.74
Rh 0.8185 0.0304 0.0304  2 H 1.74

Summary:
* space-group type: Imma, No. 74

=====

The structure with the most favorable energy is P; the runner-up is 56 meV/atom above it.

=====

P | This record from Alexandria describes Cd3H4Rh2 after structural relaxation. The functional is PBE-GGA.

Lattice parameters (Å, degrees): 5.4259 8.3009 8.3009 52.16 57.50 57.50
Closest atoms and distances in Å follow each position.
Fractional coordinates of all 18 atoms:
Cd 0.9360 0.0063 0.1983  2 H 2.42-2.54
Cd 0.5640 0.8017 0.9937  2 H 2.42-2.54
Cd 0.0640 0.9937 0.8017  2 H 2.42-2.54
Cd 0.4360 0.1983 0.0063  2 H 2.42-2.54
Cd 0.2500 0.4198 0.5802  2 H 2.41
Cd 0.7500 0.5802 0.4198  2 H 2.41
H 0.3668 0.8315 0.5618  2 Rh 1.75-1.79
H 0.1332 0.4382 0.1685  2 Rh 1.75-1.79
H 0.6332 0.1685 0.4382  2 Rh 1.75-1.79
H 0.8668 0.5618 0.8315  2 Rh 1.75-1.79
H 0.0164 0.1710 0.4350  2 Rh 1.75-1.77
H 0.4836 0.5650 0.8290  2 Rh 1.75-1.77
H 0.9836 0.8290 0.5650  2 Rh 1.75-1.77
H 0.5164 0.4350 0.1710  2 Rh 1.75-1.77
Rh 0.3291 0.2358 0.3655  4 H 1.75-1.79
Rh 0.1709 0.6345 0.7642  4 H 1.75-1.79
Rh 0.6709 0.7642 0.6345  4 H 1.75-1.79
Rh 0.8291 0.3655 0.2358  4 H 1.75-1.79

Summary:
* space-group type: C2/c, No. 15

=====

Q | This record from Alexandria describes Cd3H4Rh2 after structural relaxation. The functional is PBE-GGA.

Lattice parameters (Å, degrees): 3.1292 5.3755 7.3997 110.48 90.00 106.92
Closest atoms and distances in Å follow each position.
Fractional coordinates of all 9 atoms:
Cd 0.6096 0.2193 0.7032  2 H 2.42
Cd 0.0000 0.0000 0.0000  4 H 2.54, 4 Rh 2.83
Cd 0.3904 0.7807 0.2968  2 H 2.42
H 0.7083 0.4166 0.1236  1 Rh 1.64
H 0.2917 0.5834 0.8764  1 Rh 1.64
H 0.8339 0.6678 0.5623  3 Rh 1.80-1.98
H 0.1661 0.3322 0.4377  3 Rh 1.80-1.98
Rh 0.6675 0.3349 0.3178  3 H 1.64-1.80
Rh 0.3325 0.6651 0.6822  3 H 1.64-1.80

Summary:
* space-group type: C2/m, No. 12

=====

The structure with the most favorable energy is Q; the runner-up is 11 meV/atom above it.

=====

P | This record from Alexandria describes Sr2CdHRh after structural relaxation. The functional is PBE-GGA.

Lattice parameters (Å, degrees): 5.5414 5.5414 3.6972 90.00 90.00 90.00
Closest atoms and distances in Å follow each position.
Fractional coordinates of all 5 atoms:
Sr 0.0000 0.5000 0.0000  2 H 2.77
Sr 0.5000 0.0000 0.0000  2 H 2.77
Rh 0.0000 0.0000 0.5000  2 H 1.85
H 0.0000 0.0000 0.0000  2 Rh 1.85
Cd 0.5000 0.5000 0.5000  8 Sr 3.33, 2 Cd 3.70

Summary:
* space-group type: P4/mmm, No. 123

=====

Q | This record from Alexandria describes Sr2CdHRh after structural relaxation. The functional is PBE-GGA.

Lattice parameters (Å, degrees): 4.3862 6.7601 9.0802 109.35 90.00 90.00
Closest atoms and distances in Å follow each position.
Fractional coordinates of all 10 atoms:
Sr 0.7500 0.7637 0.6018  2 H 3.00, 2 Rh 3.16
Sr 0.7500 0.7568 0.0307  1 H 2.57
Sr 0.2500 0.2363 0.3982  2 H 3.00, 2 Rh 3.16
Sr 0.2500 0.2432 0.9693  1 H 2.57
Cd 0.2500 0.6822 0.2947  2 Rh 2.75
Cd 0.7500 0.3178 0.7053  2 Rh 2.75
H 0.2500 0.8420 0.8396  1 Rh 1.68
H 0.7500 0.1580 0.1604  1 Rh 1.68
Rh 0.2500 0.5781 0.7697  1 H 1.68
Rh 0.7500 0.4219 0.2303  1 H 1.68

Summary:
* space-group type: P2_1/m, No. 11

=====

The structure with the most favorable energy is Q; the runner-up is 63 meV/atom above it.

=====

P | This record from Alexandria describes YCdHRh2 after structural relaxation. The functional is PBE-GGA.

Lattice parameters (Å, degrees): 4.3498 4.3498 3.9646 90.00 90.00 90.00
Closest atoms and distances in Å follow each position.
Fractional coordinates of all 5 atoms:
Y 0.5000 0.5000 0.5000  8 Rh 2.94, 4 Cd 3.08
H 0.0000 0.0000 0.0000  2 Cd 1.98, 4 Rh 2.17
Rh 0.0000 0.5000 0.0000  2 H 2.17
Rh 0.5000 0.0000 0.0000  2 H 2.17
Cd 0.0000 0.0000 0.5000  2 H 1.98

Summary:
* space-group type: P4/mmm, No. 123

=====

Q | This record from Alexandria describes YCdHRh2 after structural relaxation. The functional is PBE-GGA.

Lattice parameters (Å, degrees): 4.2504 4.2504 4.1610 90.00 90.00 90.00
Closest atoms and distances in Å follow each position.
Fractional coordinates of all 5 atoms:
Y 0.0000 0.0000 0.5000  2 H 2.08
H 0.0000 0.0000 0.0000  2 Y 2.08, 4 Rh 2.13
Rh 0.0000 0.5000 0.0000  2 H 2.13
Rh 0.5000 0.0000 0.0000  2 H 2.13
Cd 0.5000 0.5000 0.5000  8 Rh 2.97, 4 Y 3.01

Summary:
* space-group type: P4/mmm, No. 123

=====

The structure with the most favorable energy is Q; the runner-up is 71 meV/atom above it.

=====

P | This record from Alexandria describes ZnCdHRh2 after structural relaxation. The functional is PBE-GGA.

Lattice parameters (Å, degrees): 4.0030 4.0030 4.0435 90.00 90.00 90.00
Closest atoms and distances in Å follow each position.
Fractional coordinates of all 5 atoms:
H 0.0000 0.0000 0.0000  4 Rh 2.00, 2 Cd 2.02
Zn 0.5000 0.5000 0.5000  4 Cd 2.83, 8 Rh 2.84
Rh 0.0000 0.5000 0.0000  2 H 2.00
Rh 0.5000 0.0000 0.0000  2 H 2.00
Cd 0.0000 0.0000 0.5000  2 H 2.02

Summary:
* space-group type: P4/mmm, No. 123

=====

Q | This record from Alexandria describes ZnCdHRh2 after structural relaxation. The functional is PBE-GGA.

Lattice parameters (Å, degrees): 4.0669 4.0669 3.8712 90.00 90.00 90.00
Closest atoms and distances in Å follow each position.
Fractional coordinates of all 5 atoms:
H 0.0000 0.0000 0.0000  2 Zn 1.94, 4 Rh 2.03
Zn 0.0000 0.0000 0.5000  2 H 1.94
Rh 0.0000 0.5000 0.0000  2 H 2.03
Rh 0.5000 0.0000 0.0000  2 H 2.03
Cd 0.5000 0.5000 0.5000  8 Rh 2.81, 4 Zn 2.88

Summary:
* space-group type: P4/mmm, No. 123

=====

The structure with the most favorable energy is Q; the runner-up is 42 meV/atom above it.